[1]
DFT (PBE) results for a geometry-optimized PmLu2Ag structure.

```
PmLu2Ag
1.0
0.000 3.770 3.770
3.770 0.000 3.770
3.770 3.770 0.000
Pm Lu Ag
1 2 1
Direct
0.000 0.000 0.000 Pm
0.250 0.250 0.250 Lu
0.750 0.750 0.750 Lu
0.500 0.500 0.500 Ag
```

Values from the calculation:
The total energy comes out at -4.055 eV/atom. For the polymorph energy (0 for the lowest one), the calculation gives 244.6 meV/atom. As for the formation energy from the elements: 41 kJ/mol of formula units. For the magnetization, the calculation gives 0.01 Bohr magnetons per cell.


[2]
DFT (PBE) results for a geometry-optimized Pm2LuAg structure.

```
Pm2LuAg
1.0
1.728 0.998 11.781
-1.728 0.998 11.781
0.000 -1.996 11.781
Pm Lu Ag
2 1 1
Direct
0.086 0.086 0.086 Pm
0.914 0.914 0.914 Pm
0.500 0.500 0.500 Lu
0.000 0.000 0.000 Ag
```

Values from the calculation:
The total energy comes out at -3.969 eV/atom. For the polymorph energy (0 for the lowest one), the calculation gives 345.1 meV/atom. As for the formation energy from the elements: 96 kJ/mol of formula units. For the magnetization, the calculation gives 0.00 Bohr magnetons per cell.


[3]
DFT (PBE) results for a geometry-optimized PmLu2Ag structure.

```
PmLu2Ag
1.0
1.772 1.023 10.313
-1.772 1.023 10.313
0.000 -2.046 10.313
Pm Lu Ag
1 2 1
Direct
0.000 0.000 0.000 Pm
0.240 0.240 0.240 Lu
0.760 0.760 0.760 Lu
0.500 0.500 0.500 Ag
```

Values from the calculation:
The total energy comes out at -4.175 eV/atom. For the polymorph energy (0 for the lowest one), the calculation gives 125.2 meV/atom. As for the formation energy from the elements: -5 kJ/mol of formula units. For the magnetization, the calculation gives 0.00 Bohr magnetons per cell.


magnetization of number 3 (PmLu2Ag)? 0.00 Bohr magnetons per cell